An optimized crystal structure of TbCe4Y3S8, computed with PBE.

Lattice parameters (Å, degrees): 7.977 7.977 7.977 59.48 59.48 59.48
Sites, in units of the cell vectors:
Tb: 0.000 0.000 0.000
Ce: 0.000 0.000 0.500
Ce: 0.000 0.500 0.000
Ce: 0.500 0.000 0.000
Ce: 0.500 0.500 0.500
Y: 0.000 0.500 0.500
Y: 0.500 0.000 0.500
Y: 0.500 0.500 0.000
S: 0.247 0.247 0.746
S: 0.247 0.746 0.247
S: 0.254 0.254 0.254
S: 0.254 0.753 0.753
S: 0.746 0.247 0.247
S: 0.746 0.746 0.746
S: 0.753 0.254 0.753
S: 0.753 0.753 0.254

Properties
SG   R-3m (166)
Energy relative to the elements, uncorrected   -2033 meV per atom
D(E_F)   21.9 states/eV per cell
Calculated total energy   -7.082 eV/atom